(1)
Here is a geometry-optimized Pm6PrDy structure from Alexandria. Energies are from PBE.

abc: 5.1503 5.1503 10.3029
angles: 90.00 90.00 90.00
Positions (direct):
1 Dy 0.0000 0.0000 0.5000
2 Pm 0.0000 0.5000 0.2527
3 Pm 0.5000 0.5000 0.5000
4 Pm 0.5000 0.5000 0.0000
5 Pr 0.0000 0.0000 0.0000
6 Pm 0.5000 0.0000 0.2527
7 Pm 0.0000 0.5000 0.7473
8 Pm 0.5000 0.0000 0.7473

## Properties
- DOS at the Fermi energy (states/eV per cell) = 13.28
- calculated total energy (eV per atom) = -4.72
- formation enthalpy at 0 K (eV per atom) = 0.017

***

(2)
Here is a geometry-optimized Pm8PrDy4 structure from Alexandria. Energies are from PBE.

abc: 12.0894 12.9777 6.6578
angles: 112.39 115.01 124.10
Positions (direct):
1 Dy 0.4937 0.9949 0.8685
2 Pm 0.9253 0.1564 0.1536
3 Dy 0.9189 0.4948 0.8030
4 Pm 0.4574 0.3405 0.3654
5 Pm 0.7190 0.4552 0.1756
6 Pm 0.3643 0.9878 0.2550
7 Pm 0.5283 0.6776 0.7809
8 Pm 0.0596 0.8760 0.3950
9 Pm 0.9236 0.1705 0.6762
10 Dy 0.8789 0.8501 0.7447
11 Pr 0.0259 0.4802 0.3305
12 Pm 0.3852 0.6838 0.1726
13 Dy 0.3200 0.3320 0.7790

## Properties
- DOS at the Fermi energy (states/eV per cell) = 18.84
- calculated total energy (eV per atom) = -4.57
- formation enthalpy at 0 K (eV per atom) = 0.138

***

(3)
Here is a geometry-optimized Pm5Pr4Dy2 structure from Alexandria. Energies are from PBE.

abc: 3.5834 8.8484 12.3645
angles: 94.36 98.33 90.00
Positions (direct):
1 Pm 0.5000 0.0000 0.0000
2 Pm 0.1303 0.0460 0.2605
3 Dy 0.4126 0.3022 0.8252
4 Dy 0.5874 0.6978 0.1748
5 Pr 0.0406 0.3458 0.0813
6 Pr 0.9594 0.6542 0.9187
7 Pm 0.8697 0.9540 0.7395
8 Pm 0.1842 0.4750 0.3684
9 Pm 0.8158 0.5250 0.6316
10 Pr 0.7262 0.8253 0.4523
11 Pr 0.2738 0.1747 0.5477

## Properties
- DOS at the Fermi energy (states/eV per cell) = 16.63
- calculated total energy (eV per atom) = -4.64
- formation enthalpy at 0 K (eV per atom) = 0.097
- distance to the lowest polymorph of the same formula (eV per atom) = 0.000

***

(4)
Here is a geometry-optimized PmPr7Dy12 structure from Alexandria. Energies are from PBE.

abc: 8.8412 8.8412 8.8412
angles: 86.17 86.17 86.17
Positions (direct):
1 Dy 0.5041 0.3813 0.8663
2 Pr 0.0776 0.1568 0.3981
3 Pr 0.5000 0.5000 0.5000
4 Dy 0.8663 0.5041 0.3813
5 Dy 0.8539 0.2551 0.7250
6 Pr 0.8432 0.6019 0.9224
7 Dy 0.6187 0.1337 0.4959
8 Dy 0.1337 0.4959 0.6187
9 Pm 0.0000 0.0000 0.0000
10 Pr 0.6019 0.9224 0.8432
11 Dy 0.2551 0.7250 0.8539
12 Pr 0.3981 0.0776 0.1568
13 Dy 0.1461 0.7449 0.2750
14 Dy 0.4959 0.6187 0.1337
15 Dy 0.7449 0.2750 0.1461
16 Pr 0.9224 0.8432 0.6019
17 Dy 0.3813 0.8663 0.5041
18 Dy 0.7250 0.8539 0.2551
19 Dy 0.2750 0.1461 0.7449
20 Pr 0.1568 0.3981 0.0776

## Properties
- DOS at the Fermi energy (states/eV per cell) = 37.04
- calculated total energy (eV per atom) = -4.44
- formation enthalpy at 0 K (eV per atom) = 0.227
- distance to the lowest polymorph of the same formula (eV per atom) = 0.000

***

(5)
Here is a geometry-optimized Pm2Pr5Dy structure from Alexandria. Energies are from PBE.

abc: 16.6282 16.6282 10.6730
angles: 60.81 60.81 119.93
Positions (direct):
1 Pr 0.3215 0.6025 0.9886
2 Pm 0.5000 0.0000 0.0000
3 Pr 0.6539 0.3461 0.7500
4 Pr 0.6025 0.3215 0.4886
5 Pr 0.9577 0.0750 0.4721
6 Pr 0.3975 0.6785 0.5114
7 Pr 0.0423 0.9250 0.5279
8 Pm 0.0000 0.5000 0.5000
9 Pm 0.5000 0.5000 0.0000
10 Pr 0.6785 0.3975 0.0114
11 Pr 0.0750 0.9577 0.9721
12 Dy 0.7615 0.2385 0.2500
13 Dy 0.2385 0.7615 0.7500
14 Pm 0.5000 0.5000 0.5000
15 Pr 0.9250 0.0423 0.0279
16 Pr 0.3461 0.6539 0.2500

## Properties
- DOS at the Fermi energy (states/eV per cell) = 23.08
- calculated total energy (eV per atom) = -4.55
- formation enthalpy at 0 K (eV per atom) = 0.203
- distance to the lowest polymorph of the same formula (eV per atom) = 0.189

***

(6)
Here is a geometry-optimized PmPr2Dy7 structure from Alexandria. Energies are from PBE.

abc: 3.5188 14.8861 14.8861
angles: 154.56 90.00 90.00
Positions (direct):
1 Dy 0.5000 0.3452 0.1484
2 Pm 0.0000 0.0000 0.0000
3 Dy 0.0000 0.1852 0.8149
4 Pr 0.5000 0.7068 0.2932
5 Dy 0.5000 0.8516 0.6548
6 Dy 0.5000 0.5000 0.5000
7 Dy 0.0000 0.8148 0.1851
8 Pr 0.5000 0.2932 0.7068
9 Dy 0.5000 0.1484 0.3452
10 Dy 0.5000 0.6548 0.8516

## Properties
- DOS at the Fermi energy (states/eV per cell) = 17.01
- calculated total energy (eV per atom) = -4.49
- formation enthalpy at 0 K (eV per atom) = 0.161
- distance to the lowest polymorph of the same formula (eV per atom) = 0.146

***

(7)
Here is a geometry-optimized PmPr2Dy6 structure from Alexandria. Energies are from PBE.

abc: 7.4713 7.4713 7.6723
angles: 60.86 60.86 60.00
Positions (direct):
1 Dy 0.7852 0.2583 0.6978
2 Dy 0.2583 0.2587 0.6978
3 Pm 0.3153 0.3153 0.0542
4 Dy 0.2587 0.7852 0.6978
5 Dy 0.0484 0.6173 0.2853
6 Pr 0.5791 0.5791 0.2628
7 Dy 0.6173 0.0489 0.2853
8 Dy 0.0489 0.0484 0.2853
9 Pr 0.7544 0.7544 0.7368

## Properties
- DOS at the Fermi energy (states/eV per cell) = 12.74
- calculated total energy (eV per atom) = -4.33
- formation enthalpy at 0 K (eV per atom) = 0.330
- distance to the lowest polymorph of the same formula (eV per atom) = 0.226

***

(8)
Here is a geometry-optimized PmPrDy2 structure from Alexandria. Energies are from PBE.

abc: 5.7451 5.7451 5.7451
angles: 60.00 60.00 60.00
Positions (direct):
1 Pm 0.0000 0.0000 0.0000
2 Pr 0.5000 0.5000 0.5000
3 Dy 0.2500 0.2500 0.2500
4 Dy 0.7500 0.7500 0.7500

## Properties
- DOS at the Fermi energy (states/eV per cell) = 7.98
- calculated total energy (eV per atom) = -4.57
- formation enthalpy at 0 K (eV per atom) = 0.118
- distance to the lowest polymorph of the same formula (eV per atom) = 0.105

***

(9)
Here is a geometry-optimized Pm2PrDy structure from Alexandria. Energies are from PBE.

abc: 3.6403 3.6403 10.2958
angles: 90.00 90.00 90.00
Positions (direct):
1 Pm 0.0000 0.0000 0.2554
2 Pr 0.5000 0.5000 0.0000
3 Dy 0.5000 0.5000 0.5000
4 Pm 0.0000 0.0000 0.7446

## Properties
- DOS at the Fermi energy (states/eV per cell) = 5.47
- calculated total energy (eV per atom) = -4.70
- formation enthalpy at 0 K (eV per atom) = 0.018
- distance to the lowest polymorph of the same formula (eV per atom) = 0.001

***

(10)
Here is a geometry-optimized Pm7PrDy3 structure from Alexandria. Energies are from PBE.

abc: 6.4484 7.7956 7.7842
angles: 81.46 85.56 85.49
Positions (direct):
1 Pm 0.0000 0.5000 0.5000
2 Pm 0.2599 0.0742 0.4239
3 Dy 0.0005 0.8304 0.1696
4 Pm 0.2117 0.7649 0.7648
5 Pm 0.7883 0.2351 0.2352
6 Pm 0.2599 0.4237 0.0736
7 Pm 0.7401 0.9258 0.5761
8 Pr 0.5000 0.5000 0.5000
9 Pm 0.7401 0.5763 0.9264
10 Dy 0.9995 0.1696 0.8304
11 Dy 0.5000 0.0000 0.0000

## Properties
- DOS at the Fermi energy (states/eV per cell) = 14.98
- calculated total energy (eV per atom) = -4.49
- formation enthalpy at 0 K (eV per atom) = 0.221
- distance to the lowest polymorph of the same formula (eV per atom) = 0.033

***

(11)
Here is a geometry-optimized Pm3PrDy6 structure from Alexandria. Energies are from PBE.

abc: 9.9416 9.9416 6.9355
angles: 44.22 44.22 60.00
Positions (direct):
1 Dy 0.3996 0.7259 0.8007
2 Pr 0.9002 0.9002 0.2993
3 Dy 0.8996 0.5725 0.3008
4 Dy 0.7259 0.0738 0.8007
5 Dy 0.0738 0.3996 0.8007
6 Pm 0.1524 0.1524 0.5429
7 Dy 0.2272 0.8996 0.3008
8 Pm 0.6485 0.6485 0.0544
9 Dy 0.5725 0.2272 0.3008
10 Pm 0.4003 0.4003 0.7992

## Properties
- DOS at the Fermi energy (states/eV per cell) = 21.27
- calculated total energy (eV per atom) = -4.38
- formation enthalpy at 0 K (eV per atom) = 0.283
- distance to the lowest polymorph of the same formula (eV per atom) = 0.134

***

(12)
Here is a geometry-optimized Pm2Pr7Dy3 structure from Alexandria. Energies are from PBE.

abc: 3.6760 5.8884 19.6211
angles: 98.63 90.00 90.00
Positions (direct):
1 Pr 0.5000 0.0723 0.1447
2 Pr 0.0000 0.0000 0.0000
3 Dy 0.5000 0.5000 0.0000
4 Pr 0.5000 0.9277 0.8553
5 Dy 0.5000 0.6849 0.3697
6 Pr 0.0000 0.5919 0.1838
7 Pm 0.0000 0.1489 0.2978
8 Pr 0.0000 0.2317 0.4634
9 Pr 0.0000 0.7683 0.5366
10 Pr 0.0000 0.4081 0.8162
11 Pm 0.0000 0.8511 0.7022
12 Dy 0.5000 0.3151 0.6303

## Properties
- DOS at the Fermi energy (states/eV per cell) = 20.31
- calculated total energy (eV per atom) = -4.62
- formation enthalpy at 0 K (eV per atom) = 0.113
- distance to the lowest polymorph of the same formula (eV per atom) = 0.000